No. 1
This record from the Alexandria database describes Hg3IrC after structural relaxation. The functional is PBE-GGA.

Computed properties:
Relative energy among the computed polymorphs in eV/atom: 0.000
Energy in eV for the cell shown: -11.52

a b c (Å): 4.523 4.523 4.523
angles (deg): 90.00 90.00 90.00
Sites, in units of the cell vectors:
C1 0.000 0.000 0.000
Ir1 0.500 0.500 0.500
Hg1 0.000 0.500 0.000
Hg2 0.000 0.000 0.500
Hg3 0.500 0.000 0.000

***

No. 2
This record from the Alexandria database describes Dy5As4C after structural relaxation. The functional is PBE-GGA.

Computed properties:
Energy in eV for the cell shown: -62.37

a b c (Å): 5.763 6.956 6.956
angles (deg): 80.12 65.53 65.53
Sites, in units of the cell vectors:
Dy1 0.907 0.366 0.820
Dy2 0.273 0.820 0.634
Dy3 0.727 0.180 0.366
Dy4 0.093 0.634 0.180
Dy5 0.464 0.000 0.000
As1 0.410 0.396 0.788
As2 0.806 0.788 0.604
As3 0.199 0.212 0.396
As4 0.594 0.604 0.212
C1 0.035 0.000 0.000

***

No. 3
This record from the Alexandria database describes SrMgMo2 after structural relaxation. The functional is PBE-GGA.

Computed properties:
Energy in eV for the cell shown: -22.53

a b c (Å): 3.034 3.034 10.142
angles (deg): 90.00 90.00 112.15
Sites, in units of the cell vectors:
Mg1 0.500 0.500 0.789
Mo1 0.000 0.000 0.024
Mo2 0.500 0.500 0.207
Sr1 0.000 0.000 0.480

***

| no. | density (Mg/m³) | M_tot (μB/cell) | D(E_F) (states/eV/cell) |
| --- | --- | --- | --- |
| 1 | 14.461 | 0.0 | 4.550 |
| 2 | 8.081 | 0.0 | 3.865 |
| 3 | 5.835 | 0.0 | 3.402 |